[1]
Ca2AlZn (GGA-PBE, relaxed); formation enthalpy at 0 K = -0.8 eV per formula unit; magnetic moment = 0.000 μB/atom; DFT total energy = -9.79 eV for the cell shown
1.0
-5.202 -3.449 -0.555
-2.654 -5.098 -2.498
-0.269 -4.159 3.177
Zn Ca Al
1 2 1
Direct
0.530 0.530 0.467
0.981 0.981 0.018
0.779 0.779 0.722
0.210 0.210 0.293


[2]
Rb3AgF (GGA-PBE, relaxed); energy relative to the elements, uncorrected = -0.480 eV/atom; magnetic moment = 0.145 μB/atom; DFT total energy = -10.02 eV for the cell shown
1.0
6.712 0.000 0.000
0.000 6.712 0.000
0.000 0.000 6.712
Rb F Ag
3 1 1
Direct
0.500 0.000 0.000
0.000 0.500 0.000
0.000 0.000 0.500
0.500 0.500 0.500
0.000 0.000 0.000


[3]
TaTiAs3 (GGA-PBE, relaxed); formation enthalpy at 0 K = 3.8 eV per formula unit; magnetic moment = 0.000 μB/atom; DFT total energy = -29.93 eV for the cell shown
1.0
4.771 0.000 0.000
0.000 4.771 0.000
0.000 0.000 4.771
Ti As Ta
1 3 1
Direct
0.000 0.000 0.000
0.500 0.000 0.000
0.000 0.000 0.500
0.000 0.500 0.000
0.500 0.500 0.500


[4]
Mg2Tl2Zn (GGA-PBE, relaxed); formation enthalpy at 0 K = 0.3 eV per formula unit; magnetic moment = 0.000 μB/atom; DFT total energy = -17.75 eV for the cell shown
1.0
-7.139 1.358 0.377
0.076 -1.574 7.104
0.903 4.476 0.982
Mg Tl Zn
4 4 2
Direct
0.150 0.350 0.000
0.650 0.150 0.000
0.850 0.650 0.000
0.350 0.850 0.000
0.164 0.664 0.500
0.836 0.336 0.500
0.336 0.164 0.500
0.664 0.836 0.500
0.000 0.000 0.000
0.500 0.500 0.000


[5]
Pr2BiPbO6 (GGA-PBE, relaxed); energy relative to the elements, uncorrected = -2.130 eV/atom; magnetic moment = 0.000 μB/atom; DFT total energy = -68.19 eV for the cell shown
1.0
-2.250 4.814 3.072
-4.878 3.023 -2.177
-5.580 -0.610 3.002
Pr O Bi Pb
2 6 1 1
Direct
0.026 0.026 0.923
0.528 0.528 0.415
0.623 0.204 0.252
0.416 0.697 0.759
0.697 0.128 0.759
0.128 0.416 0.759
0.204 0.921 0.252
0.921 0.623 0.252
0.311 0.311 0.068
0.808 0.808 0.576


[6]
AcDy3Hg2 (GGA-PBE, relaxed); formation enthalpy at 0 K = -1.8 eV per formula unit; magnetic moment = 0.000 μB/atom; DFT total energy = -20.32 eV for the cell shown
1.0
3.752 0.000 0.000
0.000 3.752 0.000
0.000 0.000 12.631
Hg Dy Ac
2 3 1
Direct
0.500 0.500 0.146
0.500 0.500 0.854
0.000 0.000 0.000
0.000 0.000 0.289
0.000 0.000 0.711
0.500 0.500 0.500


[7]
LaSb3 (GGA-PBE, relaxed); energy relative to the elements, uncorrected = -0.563 eV/atom; magnetic moment = 0.000 μB/atom; DFT total energy = -19.55 eV for the cell shown
1.0
6.531 -0.012 0.011
5.053 4.138 0.011
-0.375 -0.134 4.786
Sb La
3 1
Direct
0.734 0.734 0.794
0.500 0.500 0.500
0.266 0.266 0.206
0.000 0.000 0.000


[8]
Mn2GeP2 (GGA-PBE, relaxed); formation enthalpy at 0 K = -0.6 eV per formula unit; magnetic moment = 0.000 μB/atom; DFT total energy = -34.33 eV for the cell shown
1.0
-0.083 -3.004 1.598
3.246 0.410 0.939
-0.085 1.226 5.927
Ge P Mn
1 2 2
Direct
0.000 0.000 0.000
0.750 0.250 0.500
0.250 0.750 0.500
0.618 0.618 0.764
0.382 0.382 0.236


Q: What is the formula in the fourth record?
A: Mg2Tl2Zn